The following is a DFT calculation (PBE) of a relaxed KCa2Ta crystal.

The calculation puts the energy relative to the lowest polymorph listed for this composition at 380.4 meV per atom. The calculation puts the formation energy from the elements at 4.07 eV/f.u. The total DFT energy (no corrections) comes out at -3.220 eV/atom.

The space group is P4mm (No. 99) and the conventional cell measures 4.0949, 4.0949 and 9.2964 Å, with angles of 90.00, 90.00 and 90.00 degrees. Symmetry generates all atoms from K at (0.0000, 0.0000, 0.0000), Ca at (0.0000, 0.0000, 0.4054), Ca at (0.5000, 0.5000, 0.6409) and Ta at (0.5000, 0.5000, 0.2792).